DFT (GGA-PBE) results for a geometry-optimized HoTmNO structure.

The value obtained for the excess energy over the best structure of this formula in the dataset is 122 meV/atom.

Cell lengths 8.0453, 6.5820, 4.8149 Å; angles 90.00, 90.00, 90.00 degrees
Last column: nearest neighbours and their distance in Å.
Space group Pbcm (No. 57)
Inequivalent atoms, fractional coordinates:
Ho1 0.1279 0.0827 0.2500  4 N 2.28-2.41, 1 O 2.28
Tm1 0.3786 0.5693 0.2500  4 O 2.20-2.41, 1 N 2.21
N1 0.1272 0.0667 0.7500  1 Tm 2.21, 4 Ho 2.28-2.41
O1 0.3708 0.5958 0.7500  4 Tm 2.20-2.41, 1 Ho 2.28